# Sr4NiTe2 PBE-GGA relaxed
# N(E_F), states/eV per cell: 12.609
# Crystal system: tetragonal
# E, eV per atom: -3.436
data_Sr4NiTe2
_chemical_formula_sum 'Sr8 Ni2 Te4'
_cell_length_a 5.421
_cell_length_b 5.421
_cell_length_c 17.556
_cell_angle_alpha 90.00
_cell_angle_beta 90.00
_cell_angle_gamma 90.00
_space_group_name_H-M_alt 'I 4/m m m'
_space_group_IT_number 139
_space_group_name_Hall '-I 4 2'
loop_
_atom_site_label
_atom_site_fract_x
_atom_site_fract_y
_atom_site_fract_z
Sr1 0.000 0.000 0.172
Sr2 0.000 0.500 0.000
Ni1 0.000 0.000 0.000
Te1 0.000 0.000 0.361

***

# Na2LiBeH4 PBE-GGA relaxed
# N(E_F), states/eV per cell: 4.393
# Crystal system: tetragonal
# E, eV per atom: -2.769
data_Na2LiBeH4
_chemical_formula_sum 'Na4 Li2 Be2 H8'
_cell_length_a 4.598
_cell_length_b 4.598
_cell_length_c 9.033
_cell_angle_alpha 90.00
_cell_angle_beta 90.00
_cell_angle_gamma 90.00
_space_group_name_H-M_alt 'I -4'
_space_group_IT_number 82
_space_group_name_Hall 'I -4'
loop_
_atom_site_label
_atom_site_fract_x
_atom_site_fract_y
_atom_site_fract_z
Na1 0.000 0.000 0.000
Na2 0.000 0.500 0.250
Li1 0.000 0.000 0.500
Be1 0.000 0.500 0.750
H1 0.121 0.731 0.653

***

# Sb2Te3 PBE-GGA relaxed
# N(E_F), states/eV per cell: 0.287
# Crystal system: monoclinic
# E, eV per atom: -3.482
data_Sb2Te3
_chemical_formula_sum 'Sb8 Te12'
_cell_length_a 17.259
_cell_length_b 6.214
_cell_length_c 9.043
_cell_angle_alpha 90.00
_cell_angle_beta 96.05
_cell_angle_gamma 90.00
_space_group_name_H-M_alt 'C 1 2/m 1'
_space_group_IT_number 12
_space_group_name_Hall '-C 2y'
loop_
_atom_site_label
_atom_site_fract_x
_atom_site_fract_y
_atom_site_fract_z
Sb1 0.182 0.000 0.147
Sb2 0.247 0.500 0.485
Te1 0.063 0.000 0.914
Te2 0.093 0.000 0.395
Te3 0.230 0.500 0.171

***

# ScTa2Os PBE-GGA relaxed
# N(E_F), states/eV per cell: 3.382
# E_form, eV/atom: -0.09
# Crystal system: monoclinic
# E, eV per atom: -10.404
data_ScTa2Os
_chemical_formula_sum 'Sc1 Ta2 Os1'
_cell_length_a 2.944
_cell_length_b 4.538
_cell_length_c 5.409
_cell_angle_alpha 90.00
_cell_angle_beta 103.07
_cell_angle_gamma 90.00
_space_group_name_H-M_alt 'P 1 2/m 1'
_space_group_IT_number 10
_space_group_name_Hall '-P 2y'
loop_
_atom_site_label
_atom_site_fract_x
_atom_site_fract_y
_atom_site_fract_z
Sc1 0.000 0.000 0.000
Ta1 0.281 0.500 0.738
Os1 0.500 0.000 0.500

***

# Ce4Th PBE-GGA relaxed
# N(E_F), states/eV per cell: 31.106
# E_form, eV/atom: 0.02
# Crystal system: trigonal
# E, eV per atom: -6.215
data_Ce4Th
_chemical_formula_sum 'Ce12 Th3'
_cell_length_a 3.4008
_cell_length_b 3.4008
_cell_length_c 41.3693
_cell_angle_alpha 90.00
_cell_angle_beta 90.00
_cell_angle_gamma 120.00
_space_group_name_H-M_alt 'R -3 m'
_space_group_IT_number 166
_space_group_name_Hall '-R 3 2"'
loop_
_atom_site_label
_atom_site_fract_x
_atom_site_fract_y
_atom_site_fract_z
Ce1 0.0000 0.0000 0.0985
Ce2 0.0000 0.0000 0.3006
Th1 0.0000 0.0000 0.5000

***

# YBeSb2F PBE-GGA relaxed
# N(E_F), states/eV per cell: 7.374
# Crystal system: tetragonal
# E, eV per atom: -3.415
data_YBeSb2F
_chemical_formula_sum 'Y1 Be1 Sb2 F1'
_cell_length_a 5.763
_cell_length_b 5.763
_cell_length_c 5.395
_cell_angle_alpha 90.00
_cell_angle_beta 90.00
_cell_angle_gamma 90.00
_space_group_name_H-M_alt 'P 4/m m m'
_space_group_IT_number 123
_space_group_name_Hall '-P 4 2'
loop_
_atom_site_label
_atom_site_fract_x
_atom_site_fract_y
_atom_site_fract_z
Y1 0.000 0.000 0.000
Be1 0.000 0.000 0.500
Sb1 0.000 0.500 0.000
F1 0.500 0.500 0.500

***

# AcEr2Ir PBE-GGA relaxed
# N(E_F), states/eV per cell: 8.048
# E_form, eV/atom: -0.27
# Crystal system: trigonal
# E, eV per atom: -5.789
data_AcEr2Ir
_chemical_formula_sum 'Ac3 Er6 Ir3'
_cell_length_a 3.9214
_cell_length_b 3.9214
_cell_length_c 31.8491
_cell_angle_alpha 90.00
_cell_angle_beta 90.00
_cell_angle_gamma 120.00
_space_group_name_H-M_alt 'R -3 m'
_space_group_IT_number 166
_space_group_name_Hall '-R 3 2"'
loop_
_atom_site_label
_atom_site_fract_x
_atom_site_fract_y
_atom_site_fract_z
Ac1 0.0000 0.0000 0.0000
Er1 0.0000 0.0000 0.1195
Ir1 0.0000 0.0000 0.5000

***

# RbVAu PBE-GGA relaxed
# N(E_F), states/eV per cell: 6.104
# E_form, eV/atom: 0.27
# Crystal system: triclinic
# E, eV per atom: -4.185
data_RbVAu
_chemical_formula_sum 'Rb2 V2 Au2'
_cell_length_a 3.240
_cell_length_b 3.404
_cell_length_c 14.239
_cell_angle_alpha 86.27
_cell_angle_beta 88.52
_cell_angle_gamma 89.95
_space_group_name_H-M_alt 'P -1'
_space_group_IT_number 2
_space_group_name_Hall '-P 1'
loop_
_atom_site_label
_atom_site_fract_x
_atom_site_fract_y
_atom_site_fract_z
Rb1 0.213 0.213 0.337
V1 0.246 0.293 0.047
Au1 0.266 0.243 0.849

***

# TaCd2Pd9 PBE-GGA relaxed
# N(E_F), states/eV per cell: 11.273
# E_form, eV/atom: -0.36
# Crystal system: tetragonal
# E, eV per atom: -5.398
data_TaCd2Pd9
_chemical_formula_sum 'Ta1 Cd2 Pd9'
_cell_length_a 3.989
_cell_length_b 3.989
_cell_length_c 12.166
_cell_angle_alpha 90.00
_cell_angle_beta 90.00
_cell_angle_gamma 90.00
_space_group_name_H-M_alt 'P 4/m m m'
_space_group_IT_number 123
_space_group_name_Hall '-P 4 2'
loop_
_atom_site_label
_atom_site_fract_x
_atom_site_fract_y
_atom_site_fract_z
Ta1 0.000 0.000 0.000
Cd1 0.000 0.000 0.333
Pd1 0.000 0.500 0.157
Pd2 0.000 0.500 0.500
Pd3 0.500 0.500 0.000
Pd4 0.500 0.500 0.327

***

# CaPrLu2 PBE-GGA relaxed
# N(E_F), states/eV per cell: 7.120
# E_form, eV/atom: 0.14
# Crystal system: tetragonal
# E, eV per atom: -3.816
data_CaPrLu2
_chemical_formula_sum 'Ca1 Pr1 Lu2'
_cell_length_a 5.075
_cell_length_b 5.075
_cell_length_c 5.158
_cell_angle_alpha 90.00
_cell_angle_beta 90.00
_cell_angle_gamma 90.00
_space_group_name_H-M_alt 'P 4/m m m'
_space_group_IT_number 123
_space_group_name_Hall '-P 4 2'
loop_
_atom_site_label
_atom_site_fract_x
_atom_site_fract_y
_atom_site_fract_z
Ca1 0.000 0.000 0.000
Pr1 0.500 0.500 0.000
Lu1 0.000 0.500 0.500

***

# Hf4Ga2Sn PBE-GGA relaxed
# N(E_F), states/eV per cell: 17.722
# E_form, eV/atom: -0.21
# Crystal system: orthorhombic
# E, eV per atom: -7.337
data_Hf4Ga2Sn
_chemical_formula_sum 'Hf16 Ga8 Sn4'
_cell_length_a 4.983
_cell_length_b 8.334
_cell_length_c 13.800
_cell_angle_alpha 90.00
_cell_angle_beta 90.00
_cell_angle_gamma 90.00
_space_group_name_H-M_alt 'C m c m'
_space_group_IT_number 63
_space_group_name_Hall '-C 2c 2'
loop_
_atom_site_label
_atom_site_fract_x
_atom_site_fract_y
_atom_site_fract_z
Hf1 0.000 0.000 0.000
Hf2 0.000 0.314 0.143
Hf3 0.000 0.354 0.750
Ga1 0.000 0.345 0.553
Sn1 0.000 0.017 0.750

***

# CaCeAlZn PBE-GGA relaxed
# N(E_F), states/eV per cell: 27.648
# E_form, eV/atom: -0.22
# Crystal system: cubic
# E, eV per atom: -3.462
data_CaCeAlZn
_chemical_formula_sum 'Ca4 Ce4 Al4 Zn4'
_cell_length_a 7.350
_cell_length_b 7.350
_cell_length_c 7.350
_cell_angle_alpha 90.00
_cell_angle_beta 90.00
_cell_angle_gamma 90.00
_space_group_name_H-M_alt 'F -4 3 m'
_space_group_IT_number 216
_space_group_name_Hall 'F -4 2 3'
loop_
_atom_site_label
_atom_site_fract_x
_atom_site_fract_y
_atom_site_fract_z
Ca1 0.000 0.000 0.000
Ce1 0.000 0.000 0.500
Al1 0.250 0.250 0.250
Zn1 0.250 0.250 0.750

***

# RbTl3Ga PBE-GGA relaxed
# N(E_F), states/eV per cell: 9.134
# E_form, eV/atom: 0.86
# Crystal system: cubic
# E, eV per atom: -1.360
data_RbTl3Ga
_chemical_formula_sum 'Rb1 Tl3 Ga1'
_cell_length_a 6.379
_cell_length_b 6.379
_cell_length_c 6.379
_cell_angle_alpha 90.00
_cell_angle_beta 90.00
_cell_angle_gamma 90.00
_space_group_name_H-M_alt 'P m -3 m'
_space_group_IT_number 221
_space_group_name_Hall '-P 4 2 3'
loop_
_atom_site_label
_atom_site_fract_x
_atom_site_fract_y
_atom_site_fract_z
Rb1 0.000 0.000 0.000
Tl1 0.000 0.000 0.500
Ga1 0.500 0.500 0.500

***

# Ga2Ag2Sb PBE-GGA relaxed
# N(E_F), states/eV per cell: 3.453
# Crystal system: tetragonal
# E, eV per atom: -3.060
data_Ga2Ag2Sb
_chemical_formula_sum 'Ga4 Ag4 Sb2'
_cell_length_a 4.048
_cell_length_b 4.048
_cell_length_c 12.572
_cell_angle_alpha 90.00
_cell_angle_beta 90.00
_cell_angle_gamma 90.00
_space_group_name_H-M_alt 'I 4/m m m'
_space_group_IT_number 139
_space_group_name_Hall '-I 4 2'
loop_
_atom_site_label
_atom_site_fract_x
_atom_site_fract_y
_atom_site_fract_z
Ga1 0.000 0.000 0.100
Ag1 0.000 0.500 0.250
Sb1 0.000 0.000 0.500